# 1
! Tl2Cu2I5, optimized geometry, DFT PBE; values from VASP
&SYSTEM
  ibrav = 0, nat = 9, ntyp = 3
/
ATOMIC_SPECIES
Tl 204.38 Tl.upf
Cu 63.55 Cu.upf
I 126.90 I.upf
CELL_PARAMETERS angstrom
9.5393 -2.1530 0.0000
9.5393 2.1530 0.0000
-3.0491 0.0000 9.4255
ATOMIC_POSITIONS angstrom
Tl 2.5849 0.0000 0.0272
Tl 13.4447 0.0000 9.3984
Cu 4.1103 0.0000 4.3838
Cu 11.9193 0.0000 5.0418
I 1.5534 0.0000 3.7442
I 5.4394 0.0000 2.1052
I 9.5393 0.0000 0.0000
I 10.5902 0.0000 7.3203
I 14.4762 0.0000 5.6814
! VASP energy ... -2.62 eV per atom
! Formation energy from raw total energies ... -0.32 eV/atom
! Density of states at the Fermi level ... 9.0 states/eV/cell
! Space-group type ... C2/m (12)

# 2
! Li2ScNi, optimized geometry, DFT PBE; values from VASP
&SYSTEM
  ibrav = 0, nat = 8, ntyp = 3
/
ATOMIC_SPECIES
Li 6.94 Li.upf
Sc 44.96 Sc.upf
Ni 58.69 Ni.upf
CELL_PARAMETERS angstrom
5.0021 0.0000 0.0000
0.0000 9.0668 0.0000
0.0000 0.0000 2.8634
ATOMIC_POSITIONS angstrom
Li 1.2505 2.2667 0.0000
Li 1.2505 6.8001 0.0000
Li 3.7516 2.2667 0.0000
Li 3.7516 6.8001 0.0000
Sc 0.0000 0.0000 1.4317
Sc 2.5011 4.5334 1.4317
Ni 0.0000 4.5334 1.4317
Ni 2.5011 0.0000 1.4317
! VASP energy ... -3.81 eV per atom
! Formation enthalpy at 0 K ... 0.18 eV per atom
! Density of states at the Fermi level ... 6.5 states/eV/cell
! Space-group type ... Cmmm (65)